{
  "formula": "SrHg2WO6",
  "functional": "PBE with a Hubbard U",
  "state": "optimized geometry",
  "cell": [[2.940, 1.697, 5.025], [-2.940, 1.697, 5.025], [0.000, -3.395, 5.025]],
  "species": ["Sr", "Hg", "Hg", "W", "O", "O", "O", "O", "O", "O"],
  "fractional_positions": [[0.000, 0.000, 0.000], [0.254, 0.254, 0.254], [0.745, 0.745, 0.745], [0.500, 0.500, 0.500], [0.159, 0.411, 0.702], [0.299, 0.841, 0.589], [0.411, 0.702, 0.159], [0.589, 0.299, 0.841], [0.702, 0.159, 0.411], [0.841, 0.589, 0.299]],
  "total_magnetization_mub_per_fu": 0.00,
  "total_energy_ev_per_atom": -5.436
}